# BaHgAs, optimized geometry, DFT PBE
# energy of formation = -0.5777 eV/atom
# uncorrected energy = -2.869 eV/atom
# DOS at the Fermi energy = 4.39 states/eV per cell
data_BaHgAs
_chemical_formula_sum 'Ba4 Hg4 As4'
_space_group_name_H-M_alt 'F -4 3 m'
_space_group_IT_number 216
_space_group_name_Hall 'F -4 2 3'
_cell_length_a 7.516
_cell_length_b 7.516
_cell_length_c 7.516
_cell_angle_alpha 90.00
_cell_angle_beta 90.00
_cell_angle_gamma 90.00
loop_
_atom_site_label
_atom_site_type_symbol
_atom_site_fract_x
_atom_site_fract_y
_atom_site_fract_z
Ba1 Ba 0.000 0.000 0.000
Hg1 Hg 0.000 0.000 0.500
As1 As 0.250 0.250 0.250